(1)
NaVMo3 | PBE | relaxed

Geometry as extended XYZ:
```
5
Lattice="4.5038 0.0000 0.0000 0.0000 4.5038 0.0000 0.0000 0.0000 4.5038" Properties=species:S:1:pos:R:3 pbc="T T T"
Na 0.0000 0.0000 0.0000
Mo 0.0000 2.2519 0.0000
Mo 0.0000 0.0000 2.2519
Mo 2.2519 0.0000 0.0000
V 2.2519 2.2519 2.2519
```

total magnetic moment = 2.4 Bohr magnetons per cell
raw total energy = -5.930 eV/atom
calculated formation energy = 1281 kJ/mol of formula units
density = 6.58 g cm⁻³
space-group type = Pm-3m (221)

---

(2)
Dy6Ho3Tm2Pu | PBE | relaxed

Geometry as extended XYZ:
```
12
Lattice="6.0912 -0.0010 -0.0110 -3.0450 5.2755 -0.0110 -0.9956 -1.7239 11.4505" Properties=species:S:1:pos:R:3 pbc="T T T"
Dy 3.0506 1.8014 8.5977
Dy 2.0455 3.5418 2.8195
Dy -1.0000 1.7492 2.8307
Dy 0.0357 3.5426 8.5977
Dy 0.0051 0.0088 8.6089
Dy 2.0148 0.0080 2.8307
Ho -2.0149 3.5311 5.7142
Ho 4.0655 0.0195 5.7142
Ho 1.0253 1.7753 5.7142
Tm 0.0014 3.5160 -0.0110
Tm 3.0448 1.7584 -0.0110
Pu 0.0000 0.0000 0.0000
```

total magnetic moment = 6.6 Bohr magnetons per cell
raw total energy = -5.343 eV/atom
calculated formation energy = 49 kJ/mol of formula units
density = 9.27 g cm⁻³
space-group type = C2/m (12)